DFT (GGA-PBE) results for a relaxed AcSmAgHg crystal.

```
AcSmAgHg
1.0
3.863 0.000 0.000
0.000 3.863 0.000
0.000 0.000 7.812
Ac Hg Sm Ag
1 1 1 1
direct
0.500 0.500 0.111 Ac
0.000 0.000 0.831 Hg
0.500 0.500 0.600 Sm
0.000 0.000 0.385 Ag
```

Summary:
The value obtained for the density of states at the Fermi level is 0.832 states/eV/atom. The value obtained for the formation energy is -0.3627 eV per atom. For the total energy, the calculation gives -0.2468 Ry/atom.

DFT (GGA-PBE) results for a relaxed Th6PdSe3S2 crystal.

```
Th6PdSe3S2
1.0
-4.947 4.869 1.659
-1.590 -5.354 -4.444
0.162 -3.739 6.351
Th S Se Pd
6 2 3 1
direct
0.736 0.736 0.232 Th
0.080 0.419 0.235 Th
0.920 0.581 0.765 Th
0.419 0.080 0.235 Th
0.264 0.264 0.768 Th
0.581 0.920 0.765 Th
0.668 0.332 0.000 S
0.332 0.668 0.000 S
0.500 0.500 0.500 Se
0.837 0.163 0.500 Se
0.163 0.837 0.500 Se
0.000 0.000 0.000 Pd
```

Summary:
The value obtained for the density of states at the Fermi level is 0.873 states/eV/atom. For the total energy, the calculation gives -0.5285 Ry/atom. The value obtained for the uncorrected formation energy is -17.86 eV/f.u.

DFT (GGA-PBE) results for a relaxed Pm3Nd4Er crystal.

```
Pm3Nd4Er
1.0
6.376 0.000 0.000
0.000 7.377 0.000
0.000 0.000 11.782
Nd Pm Er
8 6 2
direct
0.481 0.873 0.747 Nd
0.150 0.874 0.000 Nd
0.981 0.127 0.753 Nd
0.481 0.873 0.253 Nd
0.646 0.126 0.000 Nd
0.981 0.127 0.247 Nd
0.650 0.126 0.500 Nd
0.146 0.874 0.500 Nd
0.149 0.375 0.500 Pm
0.480 0.377 0.250 Pm
0.980 0.623 0.250 Pm
0.649 0.625 0.000 Pm
0.980 0.623 0.750 Pm
0.480 0.377 0.750 Pm
0.147 0.377 0.000 Er
0.647 0.623 0.500 Er
```

Summary:
The value obtained for the density of states at the Fermi level is 1.752 states/eV/atom. The value obtained for the formation energy is 0.0309 eV per atom. For the total energy, the calculation gives -0.3458 Ry/atom.

DFT (GGA-PBE) results for a relaxed LiGeO3 crystal.

```
LiGeO3
1.0
3.631 0.000 0.000
0.000 3.631 0.000
0.000 0.000 3.631
Li O Ge
1 3 1
direct
0.000 0.000 0.000 Li
0.000 0.500 0.000 O
0.000 0.000 0.500 O
0.500 0.000 0.000 O
0.500 0.500 0.500 Ge
```

Summary:
The value obtained for the density of states at the Fermi level is 0.590 states/eV/atom. For the total energy, the calculation gives -0.3243 Ry/atom. The value obtained for the uncorrected formation energy is -0.66 eV/f.u.

DFT (GGA-PBE) results for a relaxed RbLa2ZnO5 crystal.

```
RbLa2ZnO5
1.0
7.004 0.000 0.000
0.000 7.004 0.000
-3.502 -3.502 5.878
Rb Zn O La
2 2 10 4
direct
0.750 0.750 0.500 Rb
0.250 0.250 0.500 Rb
0.750 0.250 0.500 Zn
0.250 0.750 0.500 Zn
0.491 0.261 0.252 O
0.739 0.239 0.748 O
0.009 0.509 0.748 O
0.761 0.991 0.252 O
0.261 0.761 0.252 O
0.000 0.000 0.000 O
0.239 0.009 0.748 O
0.509 0.739 0.748 O
0.991 0.491 0.252 O
0.500 0.500 0.000 O
0.677 0.177 0.000 La
0.323 0.823 0.000 La
0.177 0.323 0.000 La
0.823 0.677 0.000 La
```

Summary:
The value obtained for the density of states at the Fermi level is 0.742 states/eV/atom. For the total energy, the calculation gives -0.4751 Ry/atom. The value obtained for the uncorrected formation energy is -21.29 eV/f.u.

DFT (GGA-PBE) results for a relaxed SrZrTl2 crystal.

```
SrZrTl2
1.0
5.617 0.000 0.000
0.000 3.491 -0.011
0.000 0.016 5.618
Tl Sr Zr
2 1 1
direct
0.000 0.144 0.875 Tl
0.500 0.143 0.375 Tl
0.500 0.655 0.875 Sr
0.000 0.558 0.375 Zr
```

Summary:
The value obtained for the density of states at the Fermi level is 0.884 states/eV/atom. The value obtained for the formation energy is -0.0388 eV per atom. For the total energy, the calculation gives -0.2778 Ry/atom.

DFT (GGA-PBE) results for a relaxed LaPm8Pb6 crystal.

```
LaPm8Pb6
1.0
-8.731 0.533 -3.587
-3.702 -7.414 -4.551
-6.643 -4.572 3.032
Pm Pb La
8 6 1
direct
0.773 0.104 0.691 Pm
0.333 0.333 0.002 Pm
0.667 0.667 0.998 Pm
0.227 0.896 0.309 Pm
0.896 0.568 0.309 Pm
0.104 0.432 0.691 Pm
0.568 0.227 0.309 Pm
0.432 0.773 0.691 Pm
0.269 0.592 0.208 Pb
0.069 0.731 0.792 Pb
0.931 0.269 0.208 Pb
0.592 0.931 0.208 Pb
0.408 0.069 0.792 Pb
0.731 0.408 0.792 Pb
0.000 0.000 0.000 La
```

Summary:
The value obtained for the density of states at the Fermi level is 0.722 states/eV/atom. The value obtained for the formation energy is -0.4063 eV per atom. For the total energy, the calculation gives -0.3492 Ry/atom.

DFT (GGA-PBE) results for a relaxed Be2ZnIn2Pt5 crystal.

```
Be2ZnIn2Pt5
1.0
-0.402 -1.490 3.156
8.898 -2.520 -0.058
2.289 7.986 4.063
Pt In Zn Be
10 4 2 4
direct
0.500 0.923 0.205 Pt
0.500 0.423 0.295 Pt
0.500 0.077 0.795 Pt
0.500 0.795 0.923 Pt
0.500 0.205 0.077 Pt
0.500 0.705 0.423 Pt
0.500 0.295 0.577 Pt
0.500 0.000 0.500 Pt
0.500 0.577 0.705 Pt
0.500 0.500 0.000 Pt
0.000 0.173 0.327 In
0.000 0.673 0.173 In
0.000 0.327 0.827 In
0.000 0.827 0.673 In
0.000 0.500 0.500 Zn
0.000 0.000 0.000 Zn
0.000 0.375 0.125 Be
0.000 0.875 0.375 Be
0.000 0.625 0.875 Be
0.000 0.125 0.625 Be
```

Summary:
The value obtained for the density of states at the Fermi level is 0.283 states/eV/atom. The value obtained for the formation energy is -0.5346 eV per atom. For the total energy, the calculation gives -0.3657 Ry/atom.

What is the formula in the sixth record? SrZrTl2